Here is crystalline BaTcPt2 at its relaxed geometry from the Alexandria database. Energies are from PBE-GGA.

Geometry as CIF:
```
data_BaTcPt2
_chemical_formula_sum 'Ba4 Tc4 Pt8'
_space_group_name_H-M_alt 'F m -3 m'
_space_group_IT_number 225
_space_group_name_Hall '-F 4 2 3'
_cell_length_a 7.0086
_cell_length_b 7.0086
_cell_length_c 7.0086
_cell_angle_alpha 90.00
_cell_angle_beta 90.00
_cell_angle_gamma 90.00
loop_
_atom_site_label
_atom_site_type_symbol
_atom_site_fract_x
_atom_site_fract_y
_atom_site_fract_z
Ba1 Ba 0.0000 0.0000 0.0000
Tc1 Tc 0.0000 0.0000 0.5000
Pt1 Pt 0.2500 0.2500 0.2500
```

Results
Density: 12068 kg/m3
Fermi-level density of states: 0.72 states/eV/atom
Raw total energy: -89.99 eV per cell
Energy of formation: 0.468 eV per atom
Offset from the most stable computed form: 0.676 eV per atom

---

Here is crystalline MgZnSe2 at its relaxed geometry from the Alexandria database. Energies are from PBE-GGA.

Geometry as CIF:
```
data_MgZnSe2
_chemical_formula_sum 'Mg3 Zn3 Se6'
_space_group_name_H-M_alt 'R 3 m'
_space_group_IT_number 160
_space_group_name_Hall 'R 3 -2"'
_cell_length_a 4.1719
_cell_length_b 4.1719
_cell_length_c 28.9810
_cell_angle_alpha 90.00
_cell_angle_beta 90.00
_cell_angle_gamma 120.00
loop_
_atom_site_label
_atom_site_type_symbol
_atom_site_fract_x
_atom_site_fract_y
_atom_site_fract_z
Mg1 Mg 0.0000 0.0000 0.0000
Zn1 Zn 0.0000 0.0000 0.1681
Se1 Se 0.0000 0.0000 0.5118
Se2 Se 0.0000 0.0000 0.6830
```

Results
Density: 2824 kg/m3
Raw total energy: -37.75 eV per cell

---

Here is crystalline RbTaBTe2 at its relaxed geometry from the Alexandria database. Energies are from PBE-GGA.

Geometry as CIF:
```
data_RbTaBTe2
_chemical_formula_sum 'Rb1 Ta1 B1 Te2'
_space_group_name_H-M_alt 'P 4/m m m'
_space_group_IT_number 123
_space_group_name_Hall '-P 4 2'
_cell_length_a 5.5529
_cell_length_b 5.5529
_cell_length_c 4.5458
_cell_angle_alpha 90.00
_cell_angle_beta 90.00
_cell_angle_gamma 90.00
loop_
_atom_site_label
_atom_site_type_symbol
_atom_site_fract_x
_atom_site_fract_y
_atom_site_fract_z
Rb1 Rb 0.0000 0.0000 0.0000
Ta1 Ta 0.5000 0.5000 0.5000
B1 B 0.5000 0.5000 0.0000
Te1 Te 0.0000 0.5000 0.5000
```

Results
Density: 6308 kg/m3
Fermi-level density of states: 0.46 states/eV/atom
Raw total energy: -24.98 eV per cell

---

Here is crystalline BeTcOs at its relaxed geometry from the Alexandria database. Energies are from PBE-GGA.

Geometry as CIF:
```
data_BeTcOs
_chemical_formula_sum 'Be4 Tc4 Os4'
_space_group_name_H-M_alt 'F m m 2'
_space_group_IT_number 42
_space_group_name_Hall 'F 2 -2'
_cell_length_a 2.8471
_cell_length_b 4.4815
_cell_length_c 12.2348
_cell_angle_alpha 90.00
_cell_angle_beta 90.00
_cell_angle_gamma 90.00
loop_
_atom_site_label
_atom_site_type_symbol
_atom_site_fract_x
_atom_site_fract_y
_atom_site_fract_z
Be1 Be 0.0000 0.0000 0.0000
Tc1 Tc 0.0000 0.0000 0.3399
Os1 Os 0.0000 0.0000 0.6556
```

Results
Density: 12647 kg/m3
Fermi-level density of states: 0.99 states/eV/atom
Raw total energy: -98.01 eV per cell
Energy of formation: 0.273 eV per atom
Offset from the most stable computed form: 0.508 eV per atom

---

Here is crystalline AlCd2Co at its relaxed geometry from the Alexandria database. Energies are from PBE-GGA.

Geometry as CIF:
```
data_AlCd2Co
_chemical_formula_sum 'Al1 Cd2 Co1'
_space_group_name_H-M_alt 'P 1 2/m 1'
_space_group_IT_number 10
_space_group_name_Hall '-P 2y'
_cell_length_a 2.8205
_cell_length_b 5.0103
_cell_length_c 4.9069
_cell_angle_alpha 90.00
_cell_angle_beta 92.08
_cell_angle_gamma 90.00
loop_
_atom_site_label
_atom_site_type_symbol
_atom_site_fract_x
_atom_site_fract_y
_atom_site_fract_z
Al1 Al 0.0000 0.0000 0.0000
Cd1 Cd 0.2495 0.5000 0.7452
Co1 Co 0.5000 0.0000 0.5000
```

Results
Density: 7446 kg/m3
Fermi-level density of states: 0.78 states/eV/atom
Raw total energy: -11.62 eV per cell
Energy of formation: 0.263 eV per atom

---

Here is crystalline Na2Hg4Pd3 at its relaxed geometry from the Alexandria database. Energies are from PBE-GGA.

Geometry as CIF:
```
data_Na2Hg4Pd3
_chemical_formula_sum 'Na8 Hg16 Pd12'
_space_group_name_H-M_alt 'C m c e'
_space_group_IT_number 64
_space_group_name_Hall '-C 2ac 2'
_cell_length_a 6.0494
_cell_length_b 15.5039
_cell_length_c 8.4357
_cell_angle_alpha 90.00
_cell_angle_beta 90.00
_cell_angle_gamma 90.00
loop_
_atom_site_label
_atom_site_type_symbol
_atom_site_fract_x
_atom_site_fract_y
_atom_site_fract_z
Na1 Na 0.0000 0.1155 0.0938
Hg1 Hg 0.0000 0.1841 0.4787
Hg2 Hg 0.2500 0.0510 0.7500
Pd1 Pd 0.0000 0.0000 0.5000
Pd2 Pd 0.2500 0.2315 0.7500
```

Results
Density: 9802 kg/m3
Fermi-level density of states: 0.35 states/eV/atom
Raw total energy: -84.89 eV per cell
Energy of formation: -0.200 eV per atom
Offset from the most stable computed form: 0.026 eV per atom

---

Here is crystalline GdTl2Pd at its relaxed geometry from the Alexandria database. Energies are from PBE-GGA.

Geometry as CIF:
```
data_GdTl2Pd
_chemical_formula_sum 'Gd3 Tl6 Pd3'
_space_group_name_H-M_alt 'R -3 m'
_space_group_IT_number 166
_space_group_name_Hall '-R 3 2"'
_cell_length_a 3.4319
_cell_length_b 3.4319
_cell_length_c 31.5343
_cell_angle_alpha 90.00
_cell_angle_beta 90.00
_cell_angle_gamma 120.00
loop_
_atom_site_label
_atom_site_type_symbol
_atom_site_fract_x
_atom_site_fract_y
_atom_site_fract_z
Gd1 Gd 0.0000 0.0000 0.0000
Tl1 Tl 0.0000 0.0000 0.1003
Pd1 Pd 0.0000 0.0000 0.5000
```

Results
Density: 10414 kg/m3
Fermi-level density of states: 0.98 states/eV/atom
Raw total energy: -71.14 eV per cell
Energy of formation: 0.073 eV per atom

---

Here is crystalline YAlCo3 at its relaxed geometry from the Alexandria database. Energies are from PBE-GGA.

Geometry as CIF:
```
data_YAlCo3
_chemical_formula_sum 'Y1 Al1 Co3'
_space_group_name_H-M_alt 'P m -3 m'
_space_group_IT_number 221
_space_group_name_Hall '-P 4 2 3'
_cell_length_a 4.5968
_cell_length_b 4.5968
_cell_length_c 4.5968
_cell_angle_alpha 90.00
_cell_angle_beta 90.00
_cell_angle_gamma 90.00
loop_
_atom_site_label
_atom_site_type_symbol
_atom_site_fract_x
_atom_site_fract_y
_atom_site_fract_z
Y1 Y 0.0000 0.0000 0.0000
Al1 Al 0.5000 0.5000 0.5000
Co1 Co 0.0000 0.0000 0.5000
```

Results
Density: 5004 kg/m3
Fermi-level density of states: 1.07 states/eV/atom
Raw total energy: -23.53 eV per cell
Energy of formation: 1.599 eV per atom
Offset from the most stable computed form: 1.316 eV per atom

---

Here is crystalline SrSm2Cd2In2 at its relaxed geometry from the Alexandria database. Energies are from PBE-GGA.

Geometry as CIF:
```
data_SrSm2Cd2In2
_chemical_formula_sum 'Sr3 Sm6 Cd6 In6'
_space_group_name_H-M_alt 'R -3 m'
_space_group_IT_number 166
_space_group_name_Hall '-R 3 2"'
_cell_length_a 5.0076
_cell_length_b 5.0076
_cell_length_c 29.2895
_cell_angle_alpha 90.00
_cell_angle_beta 90.00
_cell_angle_gamma 120.00
loop_
_atom_site_label
_atom_site_type_symbol
_atom_site_fract_x
_atom_site_fract_y
_atom_site_fract_z
Sr1 Sr 0.0000 0.0000 0.0000
Sm1 Sm 0.0000 0.0000 0.1303
Cd1 Cd 0.0000 0.0000 0.4118
In1 In 0.0000 0.0000 0.2522
```

Results
Density: 6601 kg/m3
Fermi-level density of states: 0.44 states/eV/atom
Raw total energy: -61.85 eV per cell
Energy of formation: -0.313 eV per atom

---

Here is crystalline La2ReW at its relaxed geometry from the Alexandria database. Energies are from PBE-GGA.

Geometry as CIF:
```
data_La2ReW
_chemical_formula_sum 'La4 Re2 W2'
_space_group_name_H-M_alt 'C m m m'
_space_group_IT_number 65
_space_group_name_Hall '-C 2 2'
_cell_length_a 3.3399
_cell_length_b 5.0758
_cell_length_c 10.1334
_cell_angle_alpha 90.00
_cell_angle_beta 90.00
_cell_angle_gamma 90.00
loop_
_atom_site_label
_atom_site_type_symbol
_atom_site_fract_x
_atom_site_fract_y
_atom_site_fract_z
La1 La 0.0000 0.0000 0.2392
Re1 Re 0.0000 0.5000 0.0000
W1 W 0.0000 0.5000 0.5000
```

Results
Density: 12525 kg/m3
Fermi-level density of states: 1.44 states/eV/atom
Raw total energy: -63.90 eV per cell
Energy of formation: 0.826 eV per atom
Offset from the most stable computed form: 0.627 eV per atom

---

Here is crystalline RbInB2 at its relaxed geometry from the Alexandria database. Energies are from PBE-GGA.

Geometry as CIF:
```
data_RbInB2
_chemical_formula_sum 'Rb4 In4 B8'
_space_group_name_H-M_alt 'I 41/a m d'
_space_group_IT_number 141
_cell_length_a 4.8340
_cell_length_b 4.8340
_cell_length_c 15.6865
_cell_angle_alpha 90.00
_cell_angle_beta 90.00
_cell_angle_gamma 90.00
loop_
_space_group_symop_operation_xyz
'x,y,z'
'-x,-y,-z'
'-y+1/4,x+3/4,z+1/4'
'y+1/4,-x+3/4,-z+1/4'
'-x+1/2,-y,z+1/2'
'x+1/2,y,-z+1/2'
'y+1/4,-x+1/4,z+3/4'
'-y+1/4,x+1/4,-z+3/4'
'x,-y,-z'
'-x,y,z'
'-y+1/4,-x+1/4,-z+3/4'
'y+1/4,x+1/4,z+3/4'
'-x+1/2,y,-z+1/2'
'x+1/2,-y,z+1/2'
'y+1/4,x+3/4,-z+1/4'
'-y+1/4,-x+3/4,z+1/4'
'x+1/2,y+1/2,z+1/2'
'-x+1/2,-y+1/2,-z+1/2'
'-y+3/4,x+1/4,z+3/4'
'y+3/4,-x+1/4,-z+3/4'
'-x,-y+1/2,z'
'x,y+1/2,-z'
'y+3/4,-x+3/4,z+1/4'
'-y+3/4,x+3/4,-z+1/4'
'x+1/2,-y+1/2,-z+1/2'
'-x+1/2,y+1/2,z+1/2'
'-y+3/4,-x+3/4,-z+1/4'
'y+3/4,x+3/4,z+1/4'
'-x,y+1/2,-z'
'x,-y+1/2,z'
'y+3/4,x+1/4,-z+3/4'
'-y+3/4,-x+1/4,z+3/4'
loop_
_atom_site_label
_atom_site_type_symbol
_atom_site_fract_x
_atom_site_fract_y
_atom_site_fract_z
Rb1 Rb 0.0000 0.2500 0.3750
In1 In 0.0000 0.2500 0.8750
B1 B 0.0000 0.0000 0.0000
```

Results
Density: 4021 kg/m3
Fermi-level density of states: 0.27 states/eV/atom
Raw total energy: -47.94 eV per cell
Energy of formation: 1.269 eV per atom

---

Here is crystalline La7Tl2Ru2 at its relaxed geometry from the Alexandria database. Energies are from PBE-GGA.

Geometry as CIF:
```
data_La7Tl2Ru2
_chemical_formula_sum 'La14 Tl4 Ru4'
_space_group_name_H-M_alt 'I m m 2'
_space_group_IT_number 44
_space_group_name_Hall 'I 2 -2'
_cell_length_a 4.5336
_cell_length_b 15.2622
_cell_length_c 9.8578
_cell_angle_alpha 90.00
_cell_angle_beta 90.00
_cell_angle_gamma 90.00
loop_
_atom_site_label
_atom_site_type_symbol
_atom_site_fract_x
_atom_site_fract_y
_atom_site_fract_z
La1 La 0.0000 0.0000 0.0000
La2 La 0.0000 0.0984 0.3997
La3 La 0.0000 0.3291 0.6448
La4 La 0.0000 0.3821 0.2121
Tl1 Tl 0.0000 0.2309 0.9344
Ru1 Ru 0.0000 0.0000 0.6664
Ru2 Ru 0.0000 0.5000 0.7035
```

Results
Density: 7709 kg/m3
Fermi-level density of states: 0.83 states/eV/atom
Raw total energy: -121.65 eV per cell
Energy of formation: -0.277 eV per atom
Offset from the most stable computed form: 0.000 eV per atom

---

Here is crystalline Cs3LaEr2S6 at its relaxed geometry from the Alexandria database. Energies are from PBE-GGA.

Geometry as CIF:
```
data_Cs3LaEr2S6
_chemical_formula_sum 'Cs6 La2 Er4 S12'
_space_group_name_H-M_alt 'C 1 2/m 1'
_space_group_IT_number 12
_space_group_name_Hall '-C 2y'
_cell_length_a 7.2141
_cell_length_b 12.4935
_cell_length_c 8.4175
_cell_angle_alpha 90.00
_cell_angle_beta 106.61
_cell_angle_gamma 90.00
loop_
_atom_site_label
_atom_site_type_symbol
_atom_site_fract_x
_atom_site_fract_y
_atom_site_fract_z
Cs1 Cs 0.0000 0.0000 0.0000
Cs2 Cs 0.0000 0.3349 0.0000
La1 La 0.0000 0.5000 0.5000
Er1 Er 0.0000 0.1667 0.5000
S1 S 0.2130 0.0000 0.6815
S2 S 0.2346 0.3262 0.6823
```

Results
Density: 4863 kg/m3
Fermi-level density of states: 0.00 states/eV/atom
Raw total energy: -126.98 eV per cell